*1*
{"formula": "TaSb3N", "functional": "PBE-GGA", "state": "relaxed", "magmom_total_mub_per_fu": 2.0, "spacegroup": "Pm-3m, No. 221", "cell": [[5.346, 0.000, 0.000], [0.000, 5.346, 0.000], [0.000, 0.000, 5.346]], "species": ["Sb", "Sb", "N", "Sb", "Ta"], "fractional_positions": [[0.000, 0.500, 0.000], [0.500, 0.000, 0.000], [0.500, 0.500, 0.500], [0.000, 0.000, 0.500], [0.000, 0.000, 0.000]]}



*2*
{"formula": "TaSb3N", "functional": "PBE-GGA", "state": "relaxed", "magmom_total_mub_per_fu": 0.0, "spacegroup": "Pm-3m, No. 221", "cell": [[4.631, 0.000, 0.000], [0.000, 4.631, 0.000], [0.000, 0.000, 4.631]], "species": ["Ta", "Sb", "Sb", "N", "Sb"], "fractional_positions": [[0.500, 0.500, 0.500], [0.500, 0.000, 0.000], [0.000, 0.000, 0.500], [0.000, 0.000, 0.000], [0.000, 0.500, 0.000]]}



Calculated relative energies: *1* 562; *2* 0, given in meV/atom